[1]
Entry from Alexandria via LeMat-Bulk: crystalline Dy3Cd2Pd at its relaxed geometry (GGA-PBE).

a b c (Å): 3.646 3.646 11.072
angles (deg): 90.00 90.00 90.00
Sites, in units of the cell vectors:
Dy: 0.000 0.000 0.000
Dy: 0.000 0.000 0.350
Dy: 0.000 0.000 0.650
Cd: 0.500 0.500 0.171
Cd: 0.500 0.500 0.829
Pd: 0.500 0.500 0.500

Output
SG = P4/mmm
Calculated formation energy = -0.51 eV per atom
Crystal system = tetragonal
Density of states at the Fermi level = 0.7232 states/eV per atom

[2]
Entry from Alexandria via LeMat-Bulk: crystalline Y4PC2 at its relaxed geometry (GGA-PBE).

a b c (Å): 6.330 6.330 12.341
angles (deg): 90.00 90.00 145.54
Sites, in units of the cell vectors:
Y: 0.000 0.000 0.000
Y: 0.000 0.000 0.500
Y: 0.266 0.734 0.610
Y: 0.266 0.734 0.890
Y: 0.441 0.559 0.250
Y: 0.559 0.441 0.750
Y: 0.734 0.266 0.110
Y: 0.734 0.266 0.390
P: 0.110 0.890 0.250
P: 0.890 0.110 0.750
C: 0.365 0.635 0.061
C: 0.365 0.635 0.439
C: 0.635 0.365 0.561
C: 0.635 0.365 0.939

Output
SG = Cmcm
Calculated formation energy = -0.67 eV per atom
Crystal system = orthorhombic
Density of states at the Fermi level = 0.3070 states/eV per atom

[3]
Entry from Alexandria via LeMat-Bulk: crystalline Tb6Dy3Er2Tl at its relaxed geometry (GGA-PBE).

a b c (Å): 6.107 6.107 11.615
angles (deg): 95.07 95.07 120.06
Sites, in units of the cell vectors:
Tb: 0.082 0.411 0.247
Tb: 0.248 0.248 0.751
Tb: 0.411 0.082 0.247
Tb: 0.589 0.918 0.753
Tb: 0.752 0.752 0.249
Tb: 0.918 0.589 0.753
Dy: 0.167 0.833 0.500
Dy: 0.500 0.500 0.500
Dy: 0.833 0.167 0.500
Er: 0.334 0.666 0.000
Er: 0.666 0.334 0.000
Tl: 0.000 0.000 0.000

Output
SG = C2/m
Calculated formation energy = -0.01 eV per atom
Crystal system = monoclinic
Density of states at the Fermi level = 1.2524 states/eV per atom

[4]
Entry from Alexandria via LeMat-Bulk: crystalline Nd3SmGa4 at its relaxed geometry (GGA-PBE).

a b c (Å): 3.685 3.685 14.748
angles (deg): 90.00 90.00 90.00
Sites, in units of the cell vectors:
Nd: 0.000 0.000 0.000
Nd: 0.000 0.000 0.252
Nd: 0.000 0.000 0.748
Sm: 0.000 0.000 0.500
Ga: 0.500 0.500 0.126
Ga: 0.500 0.500 0.379
Ga: 0.500 0.500 0.621
Ga: 0.500 0.500 0.874

Output
Polymorph energy (0 for the lowest one) = 0.0 kJ/mol of atoms
SG = P4/mmm
Calculated formation energy = -0.56 eV per atom
Crystal system = tetragonal
Density of states at the Fermi level = 0.5059 states/eV per atom

[5]
Entry from Alexandria via LeMat-Bulk: crystalline OsAu at its relaxed geometry (GGA-PBE).

a b c (Å): 4.843 4.843 4.978
angles (deg): 99.23 99.23 33.85
Sites, in units of the cell vectors:
Os: 0.132 0.132 0.411
Os: 0.868 0.868 0.589
Au: 0.378 0.378 0.114
Au: 0.622 0.622 0.886

Output
Polymorph energy (0 for the lowest one) = 27.8 kJ/mol of atoms
SG = C2/m
Calculated formation energy = 0.57 eV per atom
Crystal system = monoclinic
Density of states at the Fermi level = 0.7627 states/eV per atom

[6]
Entry from Alexandria via LeMat-Bulk: crystalline MnCr2Ru at its relaxed geometry (GGA-PBE).

a b c (Å): 4.174 4.174 4.174
angles (deg): 60.00 60.00 60.00
Sites, in units of the cell vectors:
Mn: 0.000 0.000 0.000
Cr: 0.500 0.500 0.500
Cr: 0.750 0.750 0.750
Ru: 0.250 0.250 0.250

Output
Polymorph energy (0 for the lowest one) = 2.0 kJ/mol of atoms
SG = F-43m
Calculated formation energy = 0.09 eV per atom
Crystal system = cubic
Density of states at the Fermi level = 0.7770 states/eV per atom